This record from the Alexandria database describes a geometry-optimized PmPu2Ni9 structure. The functional is PBE-GGA.

Properties
DFT total energy ... -7.40 eV per atom
M_tot ... 0.749 μB per atom

abc: 4.9646 4.9646 8.6346
angles: 73.29 73.29 60.00
Last column: nearest neighbours and their distance in Å.
Positions (direct):
Ni 0.3329 0.3329 0.0014  6 Ni 2.46-2.48
Ni 0.0820 0.5826 0.7529  7 Ni 2.46-2.51
Pu 0.8571 0.8571 0.4287  12 Ni 2.89-3.00, 3 Pu 3.09
Ni 0.5000 0.5000 0.5000  6 Ni 2.51
Ni 0.5826 0.0820 0.7529  7 Ni 2.46-2.51
Ni 0.9180 0.4174 0.2471  7 Ni 2.46-2.51
Ni 0.6671 0.6671 0.9986  6 Ni 2.46-2.48
Ni 0.4174 0.4174 0.2471  7 Ni 2.46-2.51
Pm 0.0000 0.0000 0.0000  18 Ni 2.87-3.20
Pu 0.1429 0.1429 0.5713  12 Ni 2.89-3.00, 3 Pu 3.09
Ni 0.5826 0.5826 0.7529  7 Ni 2.46-2.51
Ni 0.4174 0.9180 0.2471  7 Ni 2.46-2.51

=====

This record from the Alexandria database describes a geometry-optimized Pm2Pu2Ni15 structure. The functional is PBE-GGA.

Properties
DFT total energy ... -6.73 eV per atom
M_tot ... 0.167 μB per atom

abc: 6.4600 6.4600 6.4600
angles: 82.23 82.23 82.23
Last column: nearest neighbours and their distance in Å.
Positions (direct):
Ni 0.0000 0.5000 0.0000  8 Ni 2.46-2.50, 2 Pu 2.64
Pu 0.0893 0.0893 0.0893  1 Pu 2.25
Ni 0.3150 0.6850 0.0000  8 Ni 2.50-2.68
Pu 0.9107 0.9107 0.9107  1 Pu 2.25
Ni 0.1605 0.6583 0.6583  8 Ni 2.45-2.58, 1 Pu 2.69
Ni 0.8395 0.3417 0.3417  8 Ni 2.45-2.58, 1 Pu 2.69
Ni 0.3417 0.8395 0.3417  8 Ni 2.45-2.58, 1 Pu 2.69
Ni 0.6850 0.3150 0.0000  8 Ni 2.50-2.68
Ni 0.3417 0.3417 0.8395  8 Ni 2.45-2.58, 1 Pu 2.69
Ni 0.0000 0.0000 0.5000  8 Ni 2.46-2.50, 2 Pu 2.64
Ni 0.6850 0.0000 0.3150  8 Ni 2.50-2.68
Ni 0.0000 0.6850 0.3150  8 Ni 2.50-2.68
Ni 0.6583 0.1605 0.6583  8 Ni 2.45-2.58, 1 Pu 2.69
Ni 0.6583 0.6583 0.1605  8 Ni 2.45-2.58, 1 Pu 2.69
Pm 0.3533 0.3533 0.3533  12 Ni 2.92-3.12
Ni 0.3150 0.0000 0.6850  8 Ni 2.50-2.68
Ni 0.5000 0.0000 0.0000  8 Ni 2.46-2.50, 2 Pu 2.64
Pm 0.6467 0.6467 0.6467  12 Ni 2.92-3.12
Ni 0.0000 0.3150 0.6850  8 Ni 2.50-2.68

=====

This record from the Alexandria database describes a geometry-optimized PmPuNi10 structure. The functional is PBE-GGA.

Properties
DFT total energy ... -6.65 eV per atom
M_tot ... 0.130 μB per atom

abc: 3.9597 4.9104 8.5185
angles: 90.00 90.00 90.00
Last column: nearest neighbours and their distance in Å.
Positions (direct):
Ni 0.5000 0.0000 0.5000  8 Ni 2.42-2.44
Ni 0.5000 0.2522 0.7472  8 Ni 2.42-2.48
Ni 0.5000 0.2522 0.2528  8 Ni 2.42-2.48
Ni 0.5000 0.7478 0.7472  8 Ni 2.42-2.48
Ni 0.0000 0.0000 0.6631  6 Ni 2.42-2.44
Pm 0.0000 0.0000 0.0000  18 Ni 2.86-3.18
Ni 0.5000 0.7478 0.2528  8 Ni 2.42-2.48
Pu 0.0000 0.5000 0.5000  6 Ni 2.79-2.82
Ni 0.0000 0.5000 0.1720  6 Ni 2.42-2.46
Ni 0.5000 0.5000 0.0000  8 Ni 2.46-2.47
Ni 0.0000 0.5000 0.8280  6 Ni 2.42-2.46
Ni 0.0000 0.0000 0.3369  6 Ni 2.42-2.44

=====

This record from the Alexandria database describes a geometry-optimized PmPu3Ni8 structure. The functional is PBE-GGA.

Properties
DFT total energy ... -8.11 eV per atom
M_tot ... 1.286 μB per atom

abc: 5.0680 5.0680 8.7912
angles: 73.25 73.25 60.00
Last column: nearest neighbours and their distance in Å.
Positions (direct):
Pu 0.0036 0.0036 0.9892  12 Ni 2.89-3.01, 3 Pu 3.06, 1 Pm 3.16
Ni 0.6875 0.6875 0.9376  6 Ni 2.52-2.53
Pm 0.8765 0.8765 0.3706  12 Ni 2.96-3.01, 4 Pu 3.15-3.16
Ni 0.4385 0.9372 0.1858  6 Ni 2.52-2.56
Ni 0.4385 0.4385 0.1858  6 Ni 2.52-2.56
Pu 0.4959 0.4959 0.5122  12 Ni 2.92-3.07, 1 Pu 3.05, 3 Pm 3.15
Pu 0.3733 0.3733 0.8802  12 Ni 2.93-2.99, 4 Pu 3.05-3.06
Ni 0.9375 0.4370 0.6881  6 Ni 2.53-2.54
Ni 0.9375 0.9375 0.6881  6 Ni 2.53-2.54
Ni 0.1872 0.1872 0.4384  6 Ni 2.53-2.56
Ni 0.9372 0.4385 0.1858  6 Ni 2.52-2.56
Ni 0.4370 0.9375 0.6881  6 Ni 2.53-2.54

=====

This record from the Alexandria database describes a geometry-optimized PmPu2Ni structure. The functional is PBE-GGA.

Properties
DFT total energy ... -9.49 eV per atom
M_tot ... 2.927 μB per atom

abc: 3.4981 3.4981 10.3204
angles: 80.24 80.24 60.00
Last column: nearest neighbours and their distance in Å.
Positions (direct):
Pm 0.0000 0.0000 0.0000  2 Pu 3.24, 6 Pm 3.50
Pu 0.8932 0.8932 0.3204  3 Ni 2.72
Pu 0.1068 0.1068 0.6796  3 Ni 2.72
Ni 0.5000 0.5000 0.5000  6 Pu 2.72

=====

This record from the Alexandria database describes a geometry-optimized PmPu2Ni structure. The functional is PBE-GGA.

Properties
DFT total energy ... -9.71 eV per atom
M_tot ... 2.831 μB per atom

abc: 3.4732 3.4732 8.1920
angles: 90.00 90.00 90.00
Last column: nearest neighbours and their distance in Å.
Positions (direct):
Pu 0.0000 0.0000 0.8126  4 Ni 2.90, 1 Pu 3.07
Ni 0.5000 0.5000 0.0000  8 Pu 2.90
Pm 0.5000 0.5000 0.5000  4 Pm 3.47, 8 Pu 3.55
Pu 0.0000 0.0000 0.1874  4 Ni 2.90, 1 Pu 3.07

=====

This record from the Alexandria database describes a geometry-optimized PmPuNi2 structure. The functional is PBE-GGA.

Properties
DFT total energy ... -7.79 eV per atom
M_tot ... 1.395 μB per atom

abc: 3.4043 3.4043 6.8364
angles: 90.00 90.00 90.00
Last column: nearest neighbours and their distance in Å.
Positions (direct):
Pm 0.5000 0.5000 0.5000  8 Ni 3.02
Pu 0.5000 0.5000 0.0000  8 Ni 2.89
Ni 0.0000 0.0000 0.2338  4 Pu 2.89, 4 Pm 3.02, 1 Ni 3.20
Ni 0.0000 0.0000 0.7662  4 Pu 2.89, 4 Pm 3.02, 1 Ni 3.20

=====

This record from the Alexandria database describes a geometry-optimized PmPuNi2 structure. The functional is PBE-GGA.

Properties
DFT total energy ... -7.77 eV per atom
M_tot ... 1.316 μB per atom

abc: 4.5420 4.5420 5.2638
angles: 64.44 64.44 60.00
Last column: nearest neighbours and their distance in Å.
Positions (direct):
Ni 0.7771 0.7771 0.6688  3 Pu 2.73, 4 Pm 3.03-3.05, 3 Ni 3.04
Pm 0.0000 0.0000 0.0000  8 Ni 3.03-3.05
Ni 0.2229 0.2229 0.3312  3 Pu 2.73, 4 Pm 3.03-3.05, 3 Ni 3.04
Pu 0.5000 0.5000 0.5000  6 Ni 2.73